Here is LaZrInAg after structural relaxation from Alexandria. Energies are from PBE-GGA.

density = 7354 kg/m³
ΔE_f = -0.13 eV/atom
crystal system = cubic
electronic total energy = -78.42 eV for the cell shown
density of states at the Fermi level = 14.0 states/eV per cell

```
data_LaZrInAg
_cell_length_a 7.423
_cell_length_b 7.423
_cell_length_c 7.423
_cell_angle_alpha 90.00
_cell_angle_beta 90.00
_cell_angle_gamma 90.00
_space_group_name_H-M_alt 'F -4 3 m'
_space_group_IT_number 216
_space_group_name_Hall 'F -4 2 3'
loop_
_atom_site_label
_atom_site_fract_x
_atom_site_fract_y
_atom_site_fract_z
La1 0.000 0.000 0.000
Zr1 0.000 0.000 0.500
In1 0.250 0.250 0.750
Ag1 0.250 0.250 0.250
```


Here is Tl8Sn after structural relaxation from Alexandria. Energies are from PBE-GGA.

density = 10661 kg/m³
ΔE_f = 0.01 eV/atom
crystal system = tetragonal
electronic total energy = -45.60 eV for the cell shown
density of states at the Fermi level = 7.0 states/eV per cell
excess energy over the best structure of this formula in the dataset = 0.0 kJ/mol of atoms

```
data_Tl8Sn
_cell_length_a 10.203
_cell_length_b 10.203
_cell_length_c 5.248
_cell_angle_alpha 90.00
_cell_angle_beta 90.00
_cell_angle_gamma 90.00
_space_group_name_H-M_alt 'I 4/m m m'
_space_group_IT_number 139
_space_group_name_Hall '-I 4 2'
loop_
_atom_site_label
_atom_site_fract_x
_atom_site_fract_y
_atom_site_fract_z
Tl1 0.000 0.330 0.000
Tl2 0.164 0.164 0.500
Sn1 0.000 0.000 0.000
```


Here is TbHo2PaCo2 after structural relaxation from Alexandria. Energies are from PBE-GGA.

density = 9629 kg/m³
ΔE_f = -0.18 eV/atom
crystal system = orthorhombic
electronic total energy = -154.32 eV for the cell shown
density of states at the Fermi level = 26.5 states/eV per cell

```
data_TbHo2PaCo2
_cell_length_a 6.855
_cell_length_b 12.553
_cell_length_c 6.715
_cell_angle_alpha 90.00
_cell_angle_beta 90.00
_cell_angle_gamma 90.00
_space_group_name_H-M_alt 'I b a m'
_space_group_IT_number 72
_space_group_name_Hall '-I 2 2c'
loop_
_atom_site_label
_atom_site_fract_x
_atom_site_fract_y
_atom_site_fract_z
Tb1 0.000 0.000 0.250
Ho1 0.197 0.298 0.000
Pa1 0.000 0.500 0.250
Co1 0.205 0.410 0.500
```


Here is LiThMg2Au4 after structural relaxation from Alexandria. Energies are from PBE-GGA.

density = 11130 kg/m³
ΔE_f = -0.61 eV/atom
crystal system = trigonal
electronic total energy = -91.62 eV for the cell shown
density of states at the Fermi level = 13.3 states/eV per cell

```
data_LiThMg2Au4
_cell_length_a 4.6636
_cell_length_b 4.6636
_cell_length_c 25.5572
_cell_angle_alpha 90.00
_cell_angle_beta 90.00
_cell_angle_gamma 120.00
_space_group_name_H-M_alt 'R -3 m'
_space_group_IT_number 166
_space_group_name_Hall '-R 3 2"'
loop_
_atom_site_label
_atom_site_fract_x
_atom_site_fract_y
_atom_site_fract_z
Li1 0.0000 0.0000 0.0000
Th1 0.0000 0.0000 0.5000
Mg1 0.0000 0.0000 0.2631
Au1 0.0000 0.0000 0.1062
Au2 0.0000 0.0000 0.3739
```


Here is BiSbAu after structural relaxation from Alexandria. Energies are from PBE-GGA.

raw formation energy = 117.2 meV/atom
density = 11347 kg/m³
crystal system = tetragonal
electronic total energy = -21.86 eV for the cell shown
density of states at the Fermi level = 3.0 states/eV per cell
excess energy over the best structure of this formula in the dataset = 15.6 kJ/mol of atoms

```
data_BiSbAu
_cell_length_a 3.730
_cell_length_b 3.730
_cell_length_c 11.100
_cell_angle_alpha 90.00
_cell_angle_beta 90.00
_cell_angle_gamma 90.00
_space_group_name_H-M_alt 'I 4 m m'
_space_group_IT_number 107
_space_group_name_Hall 'I 4 -2'
loop_
_atom_site_label
_atom_site_fract_x
_atom_site_fract_y
_atom_site_fract_z
Bi1 0.000 0.000 0.000
Sb1 0.000 0.000 0.290
Au1 0.000 0.000 0.666
```


Here is Ho3NiRu after structural relaxation from Alexandria. Energies are from PBE-GGA.

density = 9653 kg/m³
ΔE_f = -0.36 eV/atom
crystal system = monoclinic
electronic total energy = -122.42 eV for the cell shown
density of states at the Fermi level = 11.9 states/eV per cell
excess energy over the best structure of this formula in the dataset = 0.0 kJ/mol of atoms

```
data_Ho3NiRu
_cell_length_a 8.014
_cell_length_b 6.280
_cell_length_c 9.766
_cell_angle_alpha 90.00
_cell_angle_beta 113.59
_cell_angle_gamma 90.00
_space_group_name_H-M_alt 'P 1 21/c 1'
_space_group_IT_number 14
loop_
_space_group_symop_operation_xyz
'x,y,z'
'-x,-y,-z'
'-x,y+1/2,-z+1/2'
'x,-y+1/2,z+1/2'
loop_
_atom_site_label
_atom_site_fract_x
_atom_site_fract_y
_atom_site_fract_z
Ho1 0.129 0.007 0.295
Ho2 0.289 0.004 0.019
Ho3 0.313 0.515 0.173
Ni1 0.464 0.676 0.943
Ru1 0.001 0.244 0.505
```


Here is TmSiAu2 after structural relaxation from Alexandria. Energies are from PBE-GGA.

raw formation energy = -475.0 meV/atom
density = 12723 kg/m³
crystal system = cubic
electronic total energy = -73.40 eV for the cell shown
density of states at the Fermi level = 6.5 states/eV per cell

```
data_TmSiAu2
_cell_length_a 6.757
_cell_length_b 6.757
_cell_length_c 6.757
_cell_angle_alpha 90.00
_cell_angle_beta 90.00
_cell_angle_gamma 90.00
_space_group_name_H-M_alt 'F m -3 m'
_space_group_IT_number 225
_space_group_name_Hall '-F 4 2 3'
loop_
_atom_site_label
_atom_site_fract_x
_atom_site_fract_y
_atom_site_fract_z
Tm1 0.000 0.000 0.000
Si1 0.000 0.000 0.500
Au1 0.250 0.250 0.250
```


Here is SrAcZnBi after structural relaxation from Alexandria. Energies are from PBE-GGA.

density = 7331 kg/m³
ΔE_f = -0.45 eV/atom
crystal system = cubic
electronic total energy = -50.93 eV for the cell shown
density of states at the Fermi level = 20.5 states/eV per cell

```
data_SrAcZnBi
_cell_length_a 8.111
_cell_length_b 8.111
_cell_length_c 8.111
_cell_angle_alpha 90.00
_cell_angle_beta 90.00
_cell_angle_gamma 90.00
_space_group_name_H-M_alt 'F -4 3 m'
_space_group_IT_number 216
_space_group_name_Hall 'F -4 2 3'
loop_
_atom_site_label
_atom_site_fract_x
_atom_site_fract_y
_atom_site_fract_z
Sr1 0.000 0.000 0.000
Ac1 0.000 0.000 0.500
Zn1 0.250 0.250 0.250
Bi1 0.250 0.250 0.750
```


Here is Ac2CO after structural relaxation from Alexandria. Energies are from PBE-GGA.

raw formation energy = -1141.6 meV/atom
density = 8701 kg/m³
crystal system = trigonal
electronic total energy = -80.90 eV for the cell shown

```
data_Ac2CO
_cell_length_a 3.9278
_cell_length_b 3.9278
_cell_length_c 20.6544
_cell_angle_alpha 90.00
_cell_angle_beta 90.00
_cell_angle_gamma 120.00
_space_group_name_H-M_alt 'R 3 m'
_space_group_IT_number 160
_space_group_name_Hall 'R 3 -2"'
loop_
_atom_site_label
_atom_site_fract_x
_atom_site_fract_y
_atom_site_fract_z
Ac1 0.0000 0.0000 0.0000
Ac2 0.0000 0.0000 0.1783
C1 0.0000 0.0000 0.6026
O1 0.0000 0.0000 0.7904
```


Here is Cs3K12Li after structural relaxation from Alexandria. Energies are from PBE-GGA.

density = 1197 kg/m³
ΔE_f = 0.04 eV/atom
crystal system = tetragonal
electronic total energy = -17.07 eV for the cell shown
density of states at the Fermi level = 13.6 states/eV per cell

```
data_Cs3K12Li
_cell_length_a 6.878
_cell_length_b 6.878
_cell_length_c 25.659
_cell_angle_alpha 90.00
_cell_angle_beta 90.00
_cell_angle_gamma 90.00
_space_group_name_H-M_alt 'P 4/m m m'
_space_group_IT_number 123
_space_group_name_Hall '-P 4 2'
loop_
_atom_site_label
_atom_site_fract_x
_atom_site_fract_y
_atom_site_fract_z
Cs1 0.000 0.000 0.000
Cs2 0.000 0.000 0.272
K1 0.000 0.500 0.136
K2 0.000 0.500 0.403
K3 0.500 0.500 0.000
K4 0.500 0.500 0.268
K5 0.500 0.500 0.500
Li1 0.000 0.000 0.500
```


Here is Li2TaCrW after structural relaxation from Alexandria. Energies are from PBE-GGA.

density = 7352 kg/m³
ΔE_f = 2.06 eV/atom
crystal system = tetragonal
electronic total energy = -27.97 eV for the cell shown
density of states at the Fermi level = 6.6 states/eV per cell

```
data_Li2TaCrW
_cell_length_a 4.507
_cell_length_b 4.507
_cell_length_c 4.788
_cell_angle_alpha 90.00
_cell_angle_beta 90.00
_cell_angle_gamma 90.00
_space_group_name_H-M_alt 'P 4/m m m'
_space_group_IT_number 123
_space_group_name_Hall '-P 4 2'
loop_
_atom_site_label
_atom_site_fract_x
_atom_site_fract_y
_atom_site_fract_z
Li1 0.000 0.500 0.000
Ta1 0.000 0.000 0.500
Cr1 0.500 0.500 0.500
W1 0.000 0.000 0.000
```


Here is CaMoIr2 after structural relaxation from Alexandria. Energies are from PBE-GGA.

density = 12777 kg/m³
ΔE_f = 0.26 eV/atom
crystal system = tetragonal
electronic total energy = -59.05 eV for the cell shown
density of states at the Fermi level = 7.4 states/eV per cell
excess energy over the best structure of this formula in the dataset = 40.8 kJ/mol of atoms

```
data_CaMoIr2
_cell_length_a 3.945
_cell_length_b 3.945
_cell_length_c 8.694
_cell_angle_alpha 90.00
_cell_angle_beta 90.00
_cell_angle_gamma 90.00
_space_group_name_H-M_alt 'I -4 m 2'
_space_group_IT_number 119
_space_group_name_Hall 'I -4 -2'
loop_
_atom_site_label
_atom_site_fract_x
_atom_site_fract_y
_atom_site_fract_z
Ca1 0.000 0.000 0.000
Mo1 0.000 0.500 0.250
Ir1 0.000 0.000 0.500
Ir2 0.000 0.500 0.750
```


Here is Sm6DyMg5 after structural relaxation from Alexandria. Energies are from PBE-GGA.

density = 5611 kg/m³
ΔE_f = -0.05 eV/atom
crystal system = monoclinic
electronic total energy = -41.47 eV for the cell shown
density of states at the Fermi level = 13.5 states/eV per cell

```
data_Sm6DyMg5
_cell_length_a 5.471
_cell_length_b 7.757
_cell_length_c 8.713
_cell_angle_alpha 90.00
_cell_angle_beta 108.29
_cell_angle_gamma 90.00
_space_group_name_H-M_alt 'P 1 2/m 1'
_space_group_IT_number 10
loop_
_space_group_symop_operation_xyz
'x,y,z'
'-x,-y,-z'
'-x,y,-z'
'x,-y,z'
loop_
_atom_site_label
_atom_site_fract_x
_atom_site_fract_y
_atom_site_fract_z
Sm1 0.000 0.239 0.000
Sm2 0.331 0.247 0.660
Dy1 0.500 0.500 0.000
Mg1 0.160 0.500 0.324
Mg2 0.165 0.000 0.334
Mg3 0.500 0.000 0.000
```


Here is Sr3ThPt3 after structural relaxation from Alexandria. Energies are from PBE-GGA.

density = 8019 kg/m³
ΔE_f = -0.87 eV/atom
crystal system = monoclinic
electronic total energy = -73.35 eV for the cell shown
density of states at the Fermi level = 6.4 states/eV per cell

```
data_Sr3ThPt3
_cell_length_a 8.614
_cell_length_b 4.294
_cell_length_c 12.101
_cell_angle_alpha 90.00
_cell_angle_beta 91.84
_cell_angle_gamma 90.00
_space_group_name_H-M_alt 'P 1 21/m 1'
_space_group_IT_number 11
loop_
_space_group_symop_operation_xyz
'x,y,z'
'-x,-y,-z'
'-x,y+1/2,-z'
'x,-y+1/2,z'
loop_
_atom_site_label
_atom_site_fract_x
_atom_site_fract_y
_atom_site_fract_z
Sr1 0.113 0.250 0.125
Sr2 0.371 0.750 0.874
Sr3 0.378 0.750 0.379
Th1 0.123 0.250 0.626
Pt1 0.109 0.250 0.384
Pt2 0.131 0.250 0.865
Pt3 0.351 0.750 0.628
```


Here is KMnCr2 after structural relaxation from Alexandria. Energies are from PBE-GGA.

density = 3781 kg/m³
ΔE_f = 1.76 eV/atom
crystal system = tetragonal
electronic total energy = -89.96 eV for the cell shown
density of states at the Fermi level = 42.1 states/eV per cell
excess energy over the best structure of this formula in the dataset = 95.5 kJ/mol of atoms

```
data_KMnCr2
_cell_length_a 4.844
_cell_length_b 4.844
_cell_length_c 14.826
_cell_angle_alpha 90.00
_cell_angle_beta 90.00
_cell_angle_gamma 90.00
_space_group_name_H-M_alt 'I 41/a m d'
_space_group_IT_number 141
loop_
_space_group_symop_operation_xyz
'x,y,z'
'-x,-y,-z'
'-y+1/4,x+3/4,z+1/4'
'y+1/4,-x+3/4,-z+1/4'
'-x+1/2,-y,z+1/2'
'x+1/2,y,-z+1/2'
'y+1/4,-x+1/4,z+3/4'
'-y+1/4,x+1/4,-z+3/4'
'x,-y,-z'
'-x,y,z'
'-y+1/4,-x+1/4,-z+3/4'
'y+1/4,x+1/4,z+3/4'
'-x+1/2,y,-z+1/2'
'x+1/2,-y,z+1/2'
'y+1/4,x+3/4,-z+1/4'
'-y+1/4,-x+3/4,z+1/4'
'x+1/2,y+1/2,z+1/2'
'-x+1/2,-y+1/2,-z+1/2'
'-y+3/4,x+1/4,z+3/4'
'y+3/4,-x+1/4,-z+3/4'
'-x,-y+1/2,z'
'x,y+1/2,-z'
'y+3/4,-x+3/4,z+1/4'
'-y+3/4,x+3/4,-z+1/4'
'x+1/2,-y+1/2,-z+1/2'
'-x+1/2,y+1/2,z+1/2'
'-y+3/4,-x+3/4,-z+1/4'
'y+3/4,x+3/4,z+1/4'
'-x,y+1/2,-z'
'x,-y+1/2,z'
'y+3/4,x+1/4,-z+3/4'
'-y+3/4,-x+1/4,z+3/4'
loop_
_atom_site_label
_atom_site_fract_x
_atom_site_fract_y
_atom_site_fract_z
K1 0.000 0.250 0.375
Mn1 0.000 0.250 0.875
Cr1 0.000 0.000 0.000
```


Here is YTlTc after structural relaxation from Alexandria. Energies are from PBE-GGA.

density = 9470 kg/m³
ΔE_f = 0.29 eV/atom
crystal system = hexagonal
electronic total energy = -18.33 eV for the cell shown
density of states at the Fermi level = 4.4 states/eV per cell
excess energy over the best structure of this formula in the dataset = 12.9 kJ/mol of atoms

```
data_YTlTc
_cell_length_a 4.7467
_cell_length_b 4.7467
_cell_length_c 3.5164
_cell_angle_alpha 90.00
_cell_angle_beta 90.00
_cell_angle_gamma 120.00
_space_group_name_H-M_alt 'P -6 m 2'
_space_group_IT_number 187
_space_group_name_Hall 'P -6 2'
loop_
_atom_site_label
_atom_site_fract_x
_atom_site_fract_y
_atom_site_fract_z
Y1 0.0000 0.0000 0.0000
Tl1 0.3333 0.6667 0.5000
Tc1 0.6667 0.3333 0.5000
```


Here is Sr3HRu after structural relaxation from Alexandria. Energies are from PBE-GGA.

density = 4738 kg/m³
crystal system = cubic
electronic total energy = -16.39 eV for the cell shown
density of states at the Fermi level = 3.9 states/eV per cell
excess energy over the best structure of this formula in the dataset = 0.0 kJ/mol of atoms

```
data_Sr3HRu
_cell_length_a 5.039
_cell_length_b 5.039
_cell_length_c 5.039
_cell_angle_alpha 90.00
_cell_angle_beta 90.00
_cell_angle_gamma 90.00
_space_group_name_H-M_alt 'P m -3 m'
_space_group_IT_number 221
_space_group_name_Hall '-P 4 2 3'
loop_
_atom_site_label
_atom_site_fract_x
_atom_site_fract_y
_atom_site_fract_z
Sr1 0.000 0.000 0.500
H1 0.000 0.000 0.000
Ru1 0.500 0.500 0.500
```


Here is La5HgTe4 after structural relaxation from Alexandria. Energies are from PBE-GGA.

raw formation energy = -1375.8 meV/atom
density = 6879 kg/m³
crystal system = tetragonal
electronic total energy = -102.53 eV for the cell shown
density of states at the Fermi level = 10.8 states/eV per cell

```
data_La5HgTe4
_cell_length_a 10.236
_cell_length_b 10.236
_cell_length_c 6.477
_cell_angle_alpha 90.00
_cell_angle_beta 90.00
_cell_angle_gamma 90.00
_space_group_name_H-M_alt 'I 4/m'
_space_group_IT_number 87
_space_group_name_Hall '-I 4'
loop_
_atom_site_label
_atom_site_fract_x
_atom_site_fract_y
_atom_site_fract_z
La1 0.000 0.000 0.000
La2 0.100 0.702 0.500
Hg1 0.000 0.000 0.500
Te1 0.098 0.698 0.000
```


Here is SrZn4P after structural relaxation from Alexandria. Energies are from PBE-GGA.

density = 5357 kg/m³
ΔE_f = 0.04 eV/atom
crystal system = cubic
electronic total energy = -47.85 eV for the cell shown
density of states at the Fermi level = 15.7 states/eV per cell

```
data_SrZn4P
_cell_length_a 7.783
_cell_length_b 7.783
_cell_length_c 7.783
_cell_angle_alpha 90.00
_cell_angle_beta 90.00
_cell_angle_gamma 90.00
_space_group_name_H-M_alt 'F -4 3 m'
_space_group_IT_number 216
_space_group_name_Hall 'F -4 2 3'
loop_
_atom_site_label
_atom_site_fract_x
_atom_site_fract_y
_atom_site_fract_z
Sr1 0.000 0.000 0.000
Zn1 0.123 0.123 0.623
P1 0.250 0.250 0.250
```


Here is SrZn2NiGe after structural relaxation from Alexandria. Energies are from PBE-GGA.

density = 5689 kg/m³
ΔE_f = -0.24 eV/atom
crystal system = tetragonal
electronic total energy = -15.85 eV for the cell shown
density of states at the Fermi level = 2.6 states/eV per cell

```
data_SrZn2NiGe
_cell_length_a 4.709
_cell_length_b 4.709
_cell_length_c 4.605
_cell_angle_alpha 90.00
_cell_angle_beta 90.00
_cell_angle_gamma 90.00
_space_group_name_H-M_alt 'P 4/m m m'
_space_group_IT_number 123
_space_group_name_Hall '-P 4 2'
loop_
_atom_site_label
_atom_site_fract_x
_atom_site_fract_y
_atom_site_fract_z
Sr1 0.000 0.000 0.000
Zn1 0.000 0.500 0.500
Ni1 0.500 0.500 0.500
Ge1 0.500 0.500 0.000
```